The following is a PBE calculation of crystalline LiCo4As2 at its relaxed geometry, from Alexandria via LeMat-Bulk.

Properties
ΔH_f (0 K)	0.01	eV/atom
DFT total energy	-0.20785	Ha/atom
DOS(E_F)	0.890	states/eV per atom
calculated volume	14.54	Å³ per atom

Geometry as CIF:
```
data_LiCo4As2
_cell_length_a 3.458
_cell_length_b 3.458
_cell_length_c 17.024
_cell_angle_alpha 90.00
_cell_angle_beta 90.00
_cell_angle_gamma 90.00
_symmetry_space_group_name_H-M 'I 4/m m m'
_symmetry_Int_Tables_number 139
_symmetry_space_group_name_Hall '-I 4 2'
loop_
_atom_site_label
_atom_site_fract_x
_atom_site_fract_y
_atom_site_fract_z
Li1 0.000 0.000 0.000
Co1 0.000 0.000 0.149
Co2 0.000 0.500 0.250
As1 0.000 0.000 0.371
```

***

The following is a PBE calculation of crystalline Pr3Dy at its relaxed geometry, from Alexandria via LeMat-Bulk.

Properties
ΔH_f (0 K)	0.13	eV/atom
DFT total energy	-0.16924	Ha/atom
DOS(E_F)	2.599	states/eV per atom
calculated volume	35.15	Å³ per atom

Geometry as CIF:
```
data_Pr3Dy
_cell_length_a 8.254
_cell_length_b 8.254
_cell_length_c 8.254
_cell_angle_alpha 90.00
_cell_angle_beta 90.00
_cell_angle_gamma 90.00
_symmetry_space_group_name_H-M 'F m -3 m'
_symmetry_Int_Tables_number 225
_symmetry_space_group_name_Hall '-F 4 2 3'
loop_
_atom_site_label
_atom_site_fract_x
_atom_site_fract_y
_atom_site_fract_z
Pr1 0.000 0.000 0.000
Pr2 0.250 0.250 0.250
Dy1 0.000 0.000 0.500
```

***

The following is a PBE calculation of crystalline AlCu2C at its relaxed geometry, from Alexandria via LeMat-Bulk.

Properties
ΔH_f (0 K)	0.81	eV/atom
DFT total energy	-0.16447	Ha/atom
DOS(E_F)	0.442	states/eV per atom
calculated volume	14.03	Å³ per atom

Geometry as CIF:
```
data_AlCu2C
_cell_length_a 4.251
_cell_length_b 4.251
_cell_length_c 12.419
_cell_angle_alpha 90.00
_cell_angle_beta 90.00
_cell_angle_gamma 90.00
_symmetry_space_group_name_H-M 'I -4 2 d'
_symmetry_Int_Tables_number 122
_symmetry_space_group_name_Hall 'I -4 2bw'
loop_
_atom_site_label
_atom_site_fract_x
_atom_site_fract_y
_atom_site_fract_z
Al1 0.000 0.000 0.000
Cu1 0.117 0.250 0.625
C1 0.000 0.000 0.500
```

***

The following is a PBE calculation of crystalline ScSiP2S at its relaxed geometry, from Alexandria via LeMat-Bulk.

Properties
formation energy from raw total energies	0.085	eV per formula unit
DFT total energy	-0.19563	Ha/atom
DOS(E_F)	0.725	states/eV per atom
calculated volume	18.58	Å³ per atom

Geometry as CIF:
```
data_ScSiP2S
_cell_length_a 4.516
_cell_length_b 4.516
_cell_length_c 4.557
_cell_angle_alpha 90.00
_cell_angle_beta 90.00
_cell_angle_gamma 90.00
_symmetry_space_group_name_H-M 'P 4/m m m'
_symmetry_Int_Tables_number 123
_symmetry_space_group_name_Hall '-P 4 2'
loop_
_atom_site_label
_atom_site_fract_x
_atom_site_fract_y
_atom_site_fract_z
Sc1 0.000 0.000 0.000
Si1 0.500 0.500 0.500
P1 0.000 0.500 0.500
S1 0.500 0.500 0.000
```

***

The following is a PBE calculation of crystalline NaCeICl4 at its relaxed geometry, from Alexandria via LeMat-Bulk.

Properties
formation energy from raw total energies	-12.215	eV per formula unit
DFT total energy	-0.14912	Ha/atom
calculated volume	39.40	Å³ per atom

Geometry as CIF:
```
data_NaCeICl4
_cell_length_a 12.299
_cell_length_b 9.121
_cell_length_c 10.699
_cell_angle_alpha 90.00
_cell_angle_beta 113.20
_cell_angle_gamma 90.00
_symmetry_space_group_name_H-M 'C 1 2/m 1'
_symmetry_Int_Tables_number 12
_symmetry_space_group_name_Hall '-C 2y'
loop_
_atom_site_label
_atom_site_fract_x
_atom_site_fract_y
_atom_site_fract_z
Na1 0.115 0.000 0.385
Ce1 0.138 0.500 0.225
I1 0.139 0.500 0.931
Cl1 0.126 0.216 0.210
Cl2 0.129 0.000 0.661
Cl3 0.136 0.500 0.464
```

***

The following is a PBE calculation of crystalline VCrP2 at its relaxed geometry, from Alexandria via LeMat-Bulk.

Properties
ΔH_f (0 K)	-0.67	eV/atom
DFT total energy	-0.29625	Ha/atom
DOS(E_F)	0.714	states/eV per atom
calculated volume	12.77	Å³ per atom

Geometry as CIF:
```
data_VCrP2
_cell_length_a 3.0905
_cell_length_b 3.0905
_cell_length_c 6.1753
_cell_angle_alpha 90.00
_cell_angle_beta 90.00
_cell_angle_gamma 120.00
_symmetry_space_group_name_H-M 'P -3 m 1'
_symmetry_Int_Tables_number 164
_symmetry_space_group_name_Hall '-P 3 2"'
loop_
_atom_site_label
_atom_site_fract_x
_atom_site_fract_y
_atom_site_fract_z
V1 0.0000 0.0000 0.0000
Cr1 0.0000 0.0000 0.5000
P1 0.3333 0.6667 0.7443
```

***

| no. | size of the total moment (μB per formula unit) |
| --- | --- |
| 1 | 5.3 |
| 2 | 0.0 |
| 3 | 0.0 |
| 4 | 0.0 |
| 5 | 0.0 |
| 6 | 0.0 |